A.
## CsTl2As (PBE-GGA)

Data for a relaxed CsTl2As crystal.

```
CsTl2As
1.0
2.363 1.364 8.009
-2.363 1.364 8.009
0.000 -2.729 8.009
Cs Tl As
1 2 1
direct
0.000 0.000 0.000
0.558 0.558 0.558
0.781 0.781 0.781
0.171 0.171 0.171
```

Computed properties:
* DOS at the Fermi energy: 0.531 states/eV per cell

***

B.
## CsTl2As (PBE-GGA)

Data for a relaxed CsTl2As crystal.

```
CsTl2As
1.0
9.018 0.000 0.000
0.000 8.328 0.000
-5.265 0.000 8.245
Cs Tl As
4 8 4
direct
0.029 0.001 0.221
0.029 0.499 0.721
0.971 0.501 0.279
0.971 0.999 0.779
0.302 0.141 0.661
0.302 0.359 0.161
0.467 0.693 0.466
0.467 0.807 0.966
0.533 0.193 0.034
0.533 0.307 0.534
0.698 0.641 0.839
0.698 0.859 0.339
0.275 0.715 0.128
0.275 0.785 0.628
0.725 0.215 0.372
0.725 0.285 0.872
```

Computed properties:
* DOS at the Fermi energy: 0.968 states/eV per cell

***

Least stable: B

***

A.
## CsTl3As (PBE-GGA)

Data for a relaxed CsTl3As crystal.

```
CsTl3As
1.0
5.929 0.000 0.000
0.000 5.929 0.000
0.000 0.000 5.929
Cs Tl As
1 3 1
direct
0.000 0.000 0.000
0.000 0.500 0.500
0.500 0.000 0.500
0.500 0.500 0.000
0.500 0.500 0.500
```

Computed properties:
* DOS at the Fermi energy: 4.161 states/eV per cell

***

B.
## CsTl3As (PBE-GGA)

Data for a relaxed CsTl3As crystal.

```
CsTl3As
1.0
6.440 0.000 0.000
0.000 6.440 0.000
0.000 0.000 6.440
Cs Tl As
1 3 1
direct
0.000 0.000 0.000
0.000 0.000 0.500
0.000 0.500 0.000
0.500 0.000 0.000
0.500 0.500 0.500
```

Computed properties:
* DOS at the Fermi energy: 3.611 states/eV per cell

***

C.
## CsTl3As (PBE-GGA)

Data for a relaxed CsTl3As crystal.

```
CsTl3As
1.0
10.900 0.000 0.000
0.000 4.399 0.000
0.000 0.000 15.481
Cs Tl As
4 12 4
direct
0.211 0.250 0.005
0.289 0.750 0.505
0.711 0.250 0.495
0.789 0.750 0.995
0.040 0.250 0.385
0.064 0.750 0.192
0.178 0.750 0.788
0.322 0.250 0.288
0.436 0.250 0.692
0.460 0.750 0.885
0.540 0.250 0.115
0.564 0.750 0.308
0.678 0.750 0.712
0.822 0.250 0.212
0.936 0.250 0.808
0.960 0.750 0.615
0.130 0.250 0.662
0.370 0.750 0.162
0.630 0.250 0.838
0.870 0.750 0.338
```

Computed properties:
* DOS at the Fermi energy: 4.286 states/eV per cell

***

Least stable: B